# Fe2SiSe

A geometry-optimized Fe2SiSe structure (PBE-GGA, Alexandria).

space-group type	Imm2, No. 44
E_form (uncorrected)	-0.038	eV/atom
crystal system	orthorhombic
relative energy among the computed polymorphs	0	meV per atom

Unit cell a=5.9685 b=5.9685 c=5.9685 alpha=151.95 beta=146.43 gamma=44.30
With the nearest neighbours (Å) after each atom.
Sites, in units of the cell vectors:
Fe (0.0000, 0.0000, 0.0000)  4 Si 2.37, 2 Se 2.47
Fe (0.7885, 0.2885, 0.5000)  2 Si 2.36, 4 Se 2.54
Si (0.4341, 0.4341, 0.0000)  6 Fe 2.36-2.37
Se (0.1812, 0.6812, 0.5000)  6 Fe 2.47-2.54